Entry from the Alexandria database: an optimized crystal structure of Tc2PBr (PBE).

```
Tc2PBr
1.0
4.978 -0.040 0.006
0.872 4.901 -0.006
-1.990 -3.556 2.860
Br Tc P
1 2 1
Cartesian
2.956 -0.583 1.433
0.309 0.257 0.000
2.616 2.173 0.000
0.903 1.888 1.427
```

Values from the calculation:
DOS at the Fermi energy, states/eV/atom: 1.186
Formation energy (no corrections), eV/atom: 0.5976
Theoretical density, g/cm3: 7.3
Energy above the most stable polymorph in this dataset, eV per atom: 0.660